No. 1
DFT (PBE-GGA) results for an optimized crystal structure of Y2InBr.

- Uncorrected energy: -20.12 eV per cell
- DOS at the Fermi energy: 0.448 states/eV per atom
- Total moment: 0.0000 μB per atom
- Space group: P4/mmm, No. 123
- Volume: 28.10 Å³ per atom
- Energy relative to the elements, uncorrected: -0.696 eV per atom

Lattice parameters (Å, degrees): 4.3136 4.3136 6.0404 90.00 90.00 90.00
Fractional coordinates of all 4 atoms:
Y 0.0000 0.0000 0.8748
Y 0.5000 0.5000 0.3751
Br 0.0000 0.0000 0.3750
In 0.5000 0.5000 0.8751

---

No. 2
DFT (PBE-GGA) results for an optimized crystal structure of Y2InBr.

- Uncorrected energy: -36.51 eV per cell
- DOS at the Fermi energy: 0.299 states/eV per atom
- Total moment: 0.0000 μB per atom
- Space group: I-42d, No. 122
- Volume: 36.31 Å³ per atom
- Energy relative to the elements, uncorrected: -0.229 eV per atom

Lattice parameters (Å, degrees): 6.0681 6.0681 8.9810 70.26 70.26 90.00
Fractional coordinates of all 8 atoms:
Y 0.6160 0.1250 0.2500
Y 0.1340 0.6250 0.2500
Y 0.3750 0.3840 0.7500
Y 0.8750 0.8660 0.7500
Br 0.5000 0.5000 0.0000
Br 0.2500 0.7500 0.5000
In 0.0000 0.0000 0.0000
In 0.7500 0.2500 0.5000

---

No. 3
DFT (PBE-GGA) results for an optimized crystal structure of YIn4Br.

- Uncorrected energy: -20.27 eV per cell
- DOS at the Fermi energy: 0.390 states/eV per atom
- Total moment: 0.0000 μB per atom
- Space group: F-43m, No. 216
- Volume: 27.06 Å³ per atom
- Energy relative to the elements, uncorrected: -0.197 eV per atom

Lattice parameters (Å, degrees): 6.1233 6.1233 6.1233 60.00 60.00 60.00
Fractional coordinates of all 6 atoms:
Y 0.7500 0.7500 0.7500
In 0.8743 0.3752 0.3752
In 0.3752 0.3752 0.8743
In 0.3752 0.8743 0.3752
In 0.3752 0.3752 0.3752
Br 0.0000 0.0000 0.0000

---

No. 4
DFT (PBE-GGA) results for an optimized crystal structure of YIn2Br.

- Uncorrected energy: -14.59 eV per cell
- DOS at the Fermi energy: 0.813 states/eV per atom
- Total moment: 0.0404 μB per atom
- Space group: P4/mmm, No. 123
- Volume: 27.79 Å³ per atom
- Energy relative to the elements, uncorrected: -0.244 eV per atom

Lattice parameters (Å, degrees): 3.7001 3.7001 8.1196 90.00 90.00 90.00
Each line ends with the local moment (μB).
Fractional coordinates of all 4 atoms:
Y 0.5000 0.5000 0.2500  0.08
Br 0.5000 0.5000 0.7500  0.00
In 0.0000 0.0000 0.0091  0.00
In 0.0000 0.0000 0.4909  0.00

---

No. 5
DFT (PBE-GGA) results for an optimized crystal structure of YIn2Br.

- Uncorrected energy: -15.49 eV per cell
- DOS at the Fermi energy: 0.436 states/eV per atom
- Total moment: 0.0000 μB per atom
- Space group: Pmmm, No. 47
- Volume: 26.93 Å³ per atom
- Energy relative to the elements, uncorrected: -0.469 eV per atom

Lattice parameters (Å, degrees): 3.4759 5.1550 6.0105 90.00 90.00 90.00
Fractional coordinates of all 4 atoms:
Y 0.5000 0.0000 0.5000
Br 0.0000 0.5000 0.5000
In 0.0000 0.0000 0.0000
In 0.5000 0.5000 0.0000

---

No. 6
DFT (PBE-GGA) results for an optimized crystal structure of Y2InBr.

- Uncorrected energy: -19.59 eV per cell
- DOS at the Fermi energy: 0.636 states/eV per atom
- Total moment: 0.0000 μB per atom
- Space group: Immm, No. 71
- Volume: 28.22 Å³ per atom
- Energy relative to the elements, uncorrected: -0.563 eV per atom

Lattice parameters (Å, degrees): 5.6785 5.6785 5.6785 135.78 113.48 83.39
Fractional coordinates of all 4 atoms:
Y 0.9796 0.9796 0.0000
Y 0.5204 0.5204 0.0000
Br 0.7500 0.2500 0.5000
In 0.2500 0.7500 0.5000

---

No. 7
DFT (PBE-GGA) results for an optimized crystal structure of YIn2Br5.

- Uncorrected energy: -121.90 eV per cell
- DOS at the Fermi energy: 0.000 states/eV per atom
- Total moment: 0.0000 μB per atom
- Space group: Pnma, No. 62
- Volume: 33.12 Å³ per atom
- Energy relative to the elements, uncorrected: -1.271 eV per atom

Lattice parameters (Å, degrees): 8.9861 8.9303 13.2081 90.00 90.00 90.00
Fractional coordinates of all 32 atoms:
Y 0.4240 0.2500 0.5067
Y 0.5760 0.7500 0.4933
Y 0.9240 0.7500 0.9933
Y 0.0760 0.2500 0.0067
In 0.3948 0.5104 0.8325
In 0.6052 0.4896 0.1675
In 0.8948 0.4896 0.6675
In 0.6052 0.0104 0.1675
In 0.1052 0.5104 0.3325
In 0.3948 0.9896 0.8325
In 0.1052 0.9896 0.3325
In 0.8948 0.0104 0.6675
Br 0.0928 0.2500 0.5030
Br 0.9072 0.7500 0.4970
Br 0.5928 0.7500 0.9970
Br 0.4072 0.2500 0.0030
Br 0.3303 0.9489 0.5568
Br 0.6696 0.0511 0.4432
Br 0.8304 0.0511 0.9432
Br 0.6696 0.4489 0.4432
Br 0.1696 0.9489 0.0568
Br 0.3303 0.5511 0.5568
Br 0.1696 0.5511 0.0568
Br 0.8304 0.4489 0.9432
Br 0.1374 0.2500 0.7967
Br 0.8626 0.7500 0.2033
Br 0.6374 0.7500 0.7033
Br 0.3626 0.2500 0.2967
Br 0.5660 0.2500 0.6991
Br 0.4340 0.7500 0.3009
Br 0.0660 0.7500 0.8009
Br 0.9340 0.2500 0.1991

---

No. 8
DFT (PBE-GGA) results for an optimized crystal structure of YInBr4.

- Uncorrected energy: -24.65 eV per cell
- DOS at the Fermi energy: 0.000 states/eV per atom
- Total moment: 0.0000 μB per atom
- Space group: P-1, No. 2
- Volume: 39.74 Å³ per atom
- Energy relative to the elements, uncorrected: -1.459 eV per atom

Lattice parameters (Å, degrees): 4.2625 7.1981 8.3582 102.51 90.00 107.29
Fractional coordinates of all 6 atoms:
Y 0.0000 0.0000 0.0000
In 0.5000 0.9999 0.4999
Br 0.8811 0.7629 0.6852
Br 0.1189 0.2371 0.3148
Br 0.3830 0.7668 0.0916
Br 0.6170 0.2331 0.9084

---

No. 9
DFT (PBE-GGA) results for an optimized crystal structure of Y2InBr.

- Uncorrected energy: -19.01 eV per cell
- DOS at the Fermi energy: 1.195 states/eV per atom
- Total moment: 0.0001 μB per atom
- Space group: Pmmm, No. 47
- Volume: 28.94 Å³ per atom
- Energy relative to the elements, uncorrected: -0.418 eV per atom

Lattice parameters (Å, degrees): 3.6773 6.2030 5.0750 90.00 90.00 90.00
Fractional coordinates of all 4 atoms:
Y 0.0000 0.0000 0.0000
Y 0.5000 0.5000 0.0000
Br 0.5000 0.0000 0.5000
In 0.0000 0.5000 0.5000

---

No. 10
DFT (PBE-GGA) results for an optimized crystal structure of Y2InBr.

- Uncorrected energy: -20.01 eV per cell
- DOS at the Fermi energy: 0.582 states/eV per atom
- Total moment: 0.0000 μB per atom
- Space group: C2/m, No. 12
- Volume: 28.37 Å³ per atom
- Energy relative to the elements, uncorrected: -0.668 eV per atom

Lattice parameters (Å, degrees): 4.4968 4.4968 7.4831 75.02 75.02 51.53
Fractional coordinates of all 4 atoms:
Y 0.0071 0.0071 0.0060
Y 0.4929 0.4929 0.4940
Br 0.7500 0.7500 0.7500
In 0.2500 0.2500 0.2500

---

No. 11
DFT (PBE-GGA) results for an optimized crystal structure of YIn2Br.

- Uncorrected energy: -13.86 eV per cell
- DOS at the Fermi energy: 0.989 states/eV per atom
- Total moment: 0.0000 μB per atom
- Space group: Fm-3m, No. 225
- Volume: 29.03 Å³ per atom
- Energy relative to the elements, uncorrected: -0.060 eV per atom

Lattice parameters (Å, degrees): 5.4764 5.4764 5.4764 60.00 60.00 60.00
Fractional coordinates of all 4 atoms:
Y 0.5000 0.5000 0.5000
Br 0.0000 0.0000 0.0000
In 0.2500 0.2500 0.2500
In 0.7500 0.7500 0.7500

---

No. 12
DFT (PBE-GGA) results for an optimized crystal structure of YIn2Br.

- Uncorrected energy: -14.77 eV per cell
- DOS at the Fermi energy: 0.556 states/eV per atom
- Total moment: 0.0000 μB per atom
- Space group: R-3m, No. 166
- Volume: 27.95 Å³ per atom
- Energy relative to the elements, uncorrected: -0.290 eV per atom

Lattice parameters (Å, degrees): 9.9840 9.9840 9.9840 20.99 20.99 20.99
Fractional coordinates of all 4 atoms:
Y 0.2500 0.2500 0.2500
Br 0.7500 0.7500 0.7500
In 0.0032 0.0032 0.0032
In 0.4968 0.4968 0.4968

---

Question: Which formula does entry 9 have?
Answer: Y2InBr

---

Question: What is the DOS at the Fermi energy in the eleventh record?
Answer: 0.989 states/eV per atom

---

Question: Among the records above, which one has the lowest volume?
Answer: number 5

---

Question: total moment of number 8 (YInBr4)?
Answer: 0.0000 μB per atom